The following is a PBEsol calculation of a relaxed Tl2HgSe crystal, from Alexandria.

Summary:
Uncorrected energy   -2.54 eV/atom
Energy above the most stable polymorph in this dataset   0.31 eV per formula unit
Formation energy without anion corrections   -2.79 kcal/mol of atoms

a = 3.7783 Å, b = 3.7783 Å, c = 7.3347 Å
α = 90.00°, β = 90.00°, γ = 90.00°
With the nearest neighbours (Å) after each atom.
Fractional coordinates of all 4 atoms:
Tl: 0.5000 0.5000 0.2859  4 Hg 3.17, 1 Se 3.33
Se: 0.5000 0.5000 0.7400  5 Tl 3.10-3.33, 4 Hg 3.13
Hg: 0.0000 0.0000 0.5189  4 Se 3.13, 5 Tl 3.17-3.20
Tl: 0.0000 0.0000 0.9552  4 Se 3.10, 1 Hg 3.20

The following is a PBEsol calculation of a relaxed Tl2HgSe crystal, from Alexandria.

Summary:
Uncorrected energy   -2.60 eV/atom
Energy above the most stable polymorph in this dataset   0.07 eV per formula unit
Formation energy without anion corrections   -4.16 kcal/mol of atoms

a = 3.7265 Å, b = 3.7265 Å, c = 7.6503 Å
α = 90.00°, β = 90.00°, γ = 90.00°
With the nearest neighbours (Å) after each atom.
Fractional coordinates of all 4 atoms:
Tl: 0.0000 0.0000 0.7223  4 Se 3.14, 4 Hg 3.38, 1 Tl 3.40
Se: 0.5000 0.5000 0.5000  8 Tl 3.14
Hg: 0.5000 0.5000 0.0000  8 Tl 3.38, 4 Hg 3.73
Tl: 0.0000 0.0000 0.2777  4 Se 3.14, 4 Hg 3.38, 1 Tl 3.40

The following is a PBEsol calculation of a relaxed Tl2HgSe crystal, from Alexandria.

Summary:
Uncorrected energy   -2.62 eV/atom
Energy above the most stable polymorph in this dataset   0.00 eV per formula unit
Formation energy without anion corrections   -4.59 kcal/mol of atoms

a = 4.4321 Å, b = 4.4321 Å, c = 7.3144 Å
α = 72.36°, β = 72.36°, γ = 60.00°
With the nearest neighbours (Å) after each atom.
Fractional coordinates of all 4 atoms:
Tl: 0.2566 0.2566 0.2302  3 Se 3.01, 3 Hg 3.16
Se: 0.0000 0.0000 0.0000  6 Tl 3.01
Hg: 0.5000 0.5000 0.5000  6 Tl 3.16
Tl: 0.7434 0.7434 0.7698  3 Se 3.01, 3 Hg 3.16

The following is a PBEsol calculation of a relaxed TlHg2Se crystal, from Alexandria.

Summary:
Uncorrected energy   -1.95 eV/atom
Formation energy without anion corrections   -1.13 kcal/mol of atoms

a = 3.0999 Å, b = 4.1171 Å, c = 7.9110 Å
α = 90.00°, β = 95.48°, γ = 90.00°
With the nearest neighbours (Å) after each atom.
Fractional coordinates of all 4 atoms:
Hg: 0.6112 0.5000 0.2440  2 Se 2.88, 6 Hg 3.06-3.13
Se: 0.6435 0.0000 0.4994  2 Hg 2.88, 2 Se 3.10, 4 Tl 3.14-3.17
Hg: 0.0350 0.0000 0.0266  6 Hg 3.06-3.13, 2 Tl 3.21
Tl: 0.2103 0.5000 0.7300  2 Tl 3.10, 4 Se 3.14-3.17, 2 Hg 3.21

The following is a PBEsol calculation of a relaxed HgW2Se crystal, from Alexandria.

Summary:
Uncorrected energy   -7.20 eV/atom
Energy above the most stable polymorph in this dataset   0.30 eV per formula unit
Formation energy without anion corrections   18.60 kcal/mol of atoms

a = 3.0331 Å, b = 4.8176 Å, c = 5.4691 Å
α = 116.13°, β = 106.10°, γ = 90.00°
With the nearest neighbours (Å) after each atom.
Fractional coordinates of all 4 atoms:
Hg: 0.5000 0.0000 0.0000  4 Se 2.85, 8 W 3.03-3.16, 2 Hg 3.03
W: 0.7192 0.7192 0.4385  2 Se 2.55
W: 0.2808 0.2808 0.5615  2 Se 2.55
Se: 0.0000 0.5000 0.0000  4 W 2.55, 4 Hg 2.85

The following is a PBEsol calculation of a relaxed HgW2Se crystal, from Alexandria.

Summary:
Uncorrected energy   -7.28 eV/atom
Energy above the most stable polymorph in this dataset   0.00 eV per formula unit
Formation energy without anion corrections   16.85 kcal/mol of atoms

a = 2.9623 Å, b = 4.4682 Å, c = 5.5109 Å
α = 99.97°, β = 90.00°, γ = 109.36°
With the nearest neighbours (Å) after each atom.
Fractional coordinates of all 4 atoms:
W: 0.7451 0.4902 0.7213  3 Se 2.65-2.66, 3 Hg 2.79-2.82, 4 W 2.87-2.96
W: 0.2549 0.5098 0.2787  3 Se 2.65-2.66, 3 Hg 2.79-2.82, 4 W 2.87-2.96
Se: 0.0000 0.0000 0.5000  6 W 2.65-2.66, 2 Se 2.96
Hg: 0.5000 0.0000 0.0000  6 W 2.79-2.82, 2 Hg 2.96

The following is a PBEsol calculation of a relaxed YHgSe crystal, from Alexandria.

Summary:
Uncorrected energy   -4.45 eV/atom
Formation energy without anion corrections   -16.19 kcal/mol of atoms

a = 4.8212 Å, b = 4.8212 Å, c = 4.8212 Å
α = 60.00°, β = 60.00°, γ = 60.00°
With the nearest neighbours (Å) after each atom.
Fractional coordinates of all 3 atoms:
Y: 0.0000 0.0000 0.0000  4 Se 2.95
Hg: 0.5000 0.5000 0.5000  4 Se 2.95
Se: 0.2500 0.2500 0.2500  4 Hg 2.95, 4 Y 2.95

The following is a PBEsol calculation of a relaxed ZnHg2Se crystal, from Alexandria.

Summary:
Uncorrected energy   -1.50 eV/atom
Energy above the most stable polymorph in this dataset   0.42 eV per formula unit
Formation energy without anion corrections   3.17 kcal/mol of atoms

a = 2.7529 Å, b = 3.8497 Å, c = 7.9237 Å
α = 90.00°, β = 90.00°, γ = 90.00°
With the nearest neighbours (Å) after each atom.
Fractional coordinates of all 4 atoms:
Hg: 0.0000 0.0000 0.7245  2 Hg 2.75, 4 Zn 2.96
Zn: 0.5000 0.5000 0.5000  2 Zn 2.75, 8 Hg 2.96
Se: 0.5000 0.5000 0.0000  2 Se 2.75
Hg: 0.0000 0.0000 0.2755  2 Hg 2.75, 4 Zn 2.96

The following is a PBEsol calculation of a relaxed Zn2HgSe crystal, from Alexandria.

Summary:
Uncorrected energy   -1.90 eV/atom
Formation energy without anion corrections   -0.13 kcal/mol of atoms

a = 2.8331 Å, b = 3.5682 Å, c = 7.4178 Å
α = 90.00°, β = 89.99°, γ = 90.00°
With the nearest neighbours (Å) after each atom.
Fractional coordinates of all 4 atoms:
Zn: 0.9987 0.0000 0.7447  2 Se 2.60, 2 Zn 2.83, 2 Hg 2.91
Se: 0.0000 0.5000 0.0000  4 Zn 2.60, 2 Se 2.83
Hg: 0.5000 0.5000 0.5000  2 Hg 2.83, 8 Zn 2.91
Zn: 0.0013 0.0000 0.2553  2 Se 2.60, 2 Zn 2.83, 2 Hg 2.91

The following is a PBEsol calculation of a relaxed ZnHgSe crystal, from Alexandria.

Summary:
Uncorrected energy   -2.03 eV/atom
Energy above the most stable polymorph in this dataset   0.55 eV per formula unit
Formation energy without anion corrections   -0.68 kcal/mol of atoms

a = 4.5180 Å, b = 4.5180 Å, c = 4.5180 Å
α = 60.00°, β = 60.00°, γ = 60.00°
With the nearest neighbours (Å) after each atom.
Fractional coordinates of all 3 atoms:
Hg: 0.0000 0.0000 0.0000  4 Zn 2.77
Zn: 0.7500 0.7500 0.7500  4 Hg 2.77, 4 Se 2.77
Se: 0.5000 0.5000 0.5000  4 Zn 2.77

The following is a PBEsol calculation of a relaxed ZnHgSe crystal, from Alexandria.

Summary:
Uncorrected energy   -2.21 eV/atom
Energy above the most stable polymorph in this dataset   0.00 eV per formula unit
Formation energy without anion corrections   -4.88 kcal/mol of atoms

a = 3.8331 Å, b = 3.8331 Å, c = 5.1788 Å
α = 90.00°, β = 90.00°, γ = 120.00°
With the nearest neighbours (Å) after each atom.
Fractional coordinates of all 3 atoms:
Zn: 0.3333 0.6667 0.6111  3 Se 2.44
Se: 0.6667 0.3333 0.4107  3 Zn 2.44
Hg: 0.0000 0.0000 0.9782  3 Zn 2.92, 3 Se 3.15

The following is a PBEsol calculation of a relaxed ZnHgSe2 crystal, from Alexandria.

Summary:
Uncorrected energy   -2.86 eV/atom
Formation energy without anion corrections   -9.27 kcal/mol of atoms

a = 4.1478 Å, b = 4.1478 Å, c = 7.2440 Å
α = 73.36°, β = 73.36°, γ = 60.00°
With the nearest neighbours (Å) after each atom.
Fractional coordinates of all 4 atoms:
Hg: 0.9971 0.9971 0.0087  4 Se 2.62-2.63
Se: 0.3826 0.3826 0.8521  1 Zn 2.43, 3 Hg 2.62
Se: 0.8691 0.8691 0.3927  3 Zn 2.50, 1 Hg 2.63
Zn: 0.5012 0.5012 0.4965  4 Se 2.43-2.50

The following is a PBEsol calculation of a relaxed ZnHg2Se crystal, from Alexandria.

Summary:
Uncorrected energy   -1.53 eV/atom
Energy above the most stable polymorph in this dataset   0.33 eV per formula unit
Formation energy without anion corrections   2.67 kcal/mol of atoms

a = 3.9850 Å, b = 3.9850 Å, c = 5.4199 Å
α = 90.00°, β = 90.00°, γ = 90.00°
With the nearest neighbours (Å) after each atom.
Fractional coordinates of all 4 atoms:
Se: 0.5000 0.5000 0.0000  2 Zn 2.71
Hg: 0.0000 0.0000 0.7480  2 Hg 2.69-2.73
Hg: 0.0000 0.0000 0.2520  2 Hg 2.69-2.73
Zn: 0.5000 0.5000 0.5000  2 Se 2.71

The following is a PBEsol calculation of a relaxed ZnHgSe2 crystal, from Alexandria.

Summary:
Uncorrected energy   -2.68 eV/atom
Formation energy without anion corrections   -5.00 kcal/mol of atoms

a = 3.9879 Å, b = 3.9879 Å, c = 7.7884 Å
α = 75.17°, β = 75.17°, γ = 60.00°
With the nearest neighbours (Å) after each atom.
Fractional coordinates of all 4 atoms:
Zn: 0.5000 0.5000 0.5000  6 Se 2.62
Hg: 0.0000 0.0000 0.0000  2 Se 2.46
Se: 0.8896 0.8896 0.3311  1 Hg 2.46, 3 Zn 2.62
Se: 0.1104 0.1104 0.6689  1 Hg 2.46, 3 Zn 2.62

The following is a PBEsol calculation of a relaxed ZnHgSe2 crystal, from Alexandria.

Summary:
Uncorrected energy   -2.89 eV/atom
Formation energy without anion corrections   -9.82 kcal/mol of atoms

a = 5.8995 Å, b = 5.8995 Å, c = 7.1622 Å
α = 114.32°, β = 114.32°, γ = 90.00°
With the nearest neighbours (Å) after each atom.
Fractional coordinates of all 8 atoms:
Se: 0.8443 0.3750 0.2500  2 Zn 2.44, 2 Hg 2.65
Se: 0.4057 0.8750 0.2500  2 Zn 2.44, 2 Hg 2.65
Zn: 0.7500 0.2500 0.5000  4 Se 2.44
Se: 0.6250 0.5943 0.7500  2 Zn 2.44, 2 Hg 2.65
Hg: 0.2500 0.7500 0.5000  4 Se 2.65
Zn: 0.5000 0.5000 0.0000  4 Se 2.44
Hg: 0.0000 0.0000 0.0000  4 Se 2.65
Se: 0.1250 0.1557 0.7500  2 Zn 2.44, 2 Hg 2.65